Material: GdPbAu4
Method: DFT, PBE
State: optimized geometry

Summary:
Magnetic moment in μB per cell: 27.78
Total energy in eV/atom: -5.546

abc: 8.0470 8.0470 8.0470
angles: 90.00 90.00 90.00
Space group F-43m (No. 216)
Unique sites:
Gd  0.0000  0.0000  0.0000 (multiplicity 4)
Pb  0.2500  0.2500  0.2500 (multiplicity 4)
Au  0.1252  0.1252  0.6252 (multiplicity 16)